Entry 1:
# AcCe2Ge

AcCe2Ge after structural relaxation (PBE, Alexandria via LeMat-Bulk).

## Properties
ΔE_f: -230 meV per atom
relative energy among the computed polymorphs: 90 meV/atom
volume: 112 Å³ per cell

The structure in CIF format:
```
data_AcCe2Ge
_chemical_formula_sum 'Ac1 Ce2 Ge1'
_cell_length_a 4.764
_cell_length_b 4.764
_cell_length_c 4.932
_cell_angle_alpha 90.00
_cell_angle_beta 90.00
_cell_angle_gamma 90.00
_symmetry_space_group_name_H-M 'P 4/m m m'
_symmetry_Int_Tables_number 123
_symmetry_space_group_name_Hall '-P 4 2'
loop_
_atom_site_label
_atom_site_type_symbol
_atom_site_fract_x
_atom_site_fract_y
_atom_site_fract_z
Ac1 Ac 0.000 0.000 0.000
Ce1 Ce 0.000 0.500 0.500
Ge1 Ge 0.500 0.500 0.000
```


Entry 2:
# LiUPt2

LiUPt2 after structural relaxation (PBE, Alexandria via LeMat-Bulk).

## Properties
ΔE_f: -526 meV per atom
volume: 289 Å³ per cell

The structure in CIF format:
```
data_LiUPt2
_chemical_formula_sum 'Li4 U4 Pt8'
_cell_length_a 3.294
_cell_length_b 12.578
_cell_length_c 6.978
_cell_angle_alpha 90.00
_cell_angle_beta 90.00
_cell_angle_gamma 90.00
_symmetry_space_group_name_H-M 'C m c m'
_symmetry_Int_Tables_number 63
_symmetry_space_group_name_Hall '-C 2c 2'
loop_
_atom_site_label
_atom_site_type_symbol
_atom_site_fract_x
_atom_site_fract_y
_atom_site_fract_z
Li1 Li 0.000 0.241 0.250
U1 U 0.000 0.024 0.750
Pt1 Pt 0.000 0.369 0.535
```


Entry 3:
# Al4PRu

Al4PRu after structural relaxation (PBE, Alexandria via LeMat-Bulk).

## Properties
ΔE_f: 247 meV per atom
volume: 370 Å³ per cell

The structure in CIF format:
```
data_Al4PRu
_chemical_formula_sum 'Al16 P4 Ru4'
_cell_length_a 7.180
_cell_length_b 7.180
_cell_length_c 7.180
_cell_angle_alpha 90.00
_cell_angle_beta 90.00
_cell_angle_gamma 90.00
_symmetry_space_group_name_H-M 'F -4 3 m'
_symmetry_Int_Tables_number 216
_symmetry_space_group_name_Hall 'F -4 2 3'
loop_
_atom_site_label
_atom_site_type_symbol
_atom_site_fract_x
_atom_site_fract_y
_atom_site_fract_z
Al1 Al 0.125 0.125 0.125
P1 P 0.250 0.250 0.750
Ru1 Ru 0.000 0.000 0.500
```


Entry 4:
# Fe3MoPd

Fe3MoPd after structural relaxation (PBE, Alexandria via LeMat-Bulk).

## Properties
ΔE_f: 1655 meV per atom
relative energy among the computed polymorphs: 247 meV/atom
volume: 93 Å³ per cell

The structure in CIF format:
```
data_Fe3MoPd
_chemical_formula_sum 'Fe3 Mo1 Pd1'
_cell_length_a 4.529
_cell_length_b 4.529
_cell_length_c 4.529
_cell_angle_alpha 90.00
_cell_angle_beta 90.00
_cell_angle_gamma 90.00
_symmetry_space_group_name_H-M 'P m -3 m'
_symmetry_Int_Tables_number 221
_symmetry_space_group_name_Hall '-P 4 2 3'
loop_
_atom_site_label
_atom_site_type_symbol
_atom_site_fract_x
_atom_site_fract_y
_atom_site_fract_z
Fe1 Fe 0.000 0.000 0.500
Mo1 Mo 0.500 0.500 0.500
Pd1 Pd 0.000 0.000 0.000
```


no.,total energy (eV per atom)
1,-5.378
2,-6.847
3,-4.696
4,-6.628